# BaCo2OF (PBE with a Hubbard U, relaxed)
# - DOS at the Fermi energy: 0.594 states/eV per atom
# - V: 159.15 Å³/cell
# - Uncorrected energy: -15.557 eV/cell
# - Spin magnetization: 4.355 μB per cell
data_BaCo2OF
_space_group_name_H-M_alt 'P 4/m m m'
_space_group_IT_number 123
_space_group_name_Hall '-P 4 2'
_cell_length_a 5.9459
_cell_length_b 5.9459
_cell_length_c 4.5018
_cell_angle_alpha 90.00
_cell_angle_beta 90.00
_cell_angle_gamma 90.00
loop_
_atom_site_label
_atom_site_type_symbol
_atom_site_fract_x
_atom_site_fract_y
_atom_site_fract_z
Ba1 Ba 0.0000 0.0000 0.0000
Co1 Co 0.0000 0.5000 0.0000
O1 O 0.0000 0.0000 0.5000
F1 F 0.5000 0.5000 0.5000